Below is an optimized crystal structure of ZnGaP2H4NO8, with properties calculated at the GGA-PBE level.

Output
The value obtained for the uncorrected energy is -6.094 eV per atom. As for the density of states at the Fermi level: 0.00 states/eV per atom. Its volume is 205.4 Å³/f.u.

a b c (Å): 8.7222 9.2143 10.2241
angles (deg): 90.00 90.00 90.13
Fractional positions:
Ga1 0.8663 0.9292 0.1589
Ga2 0.4154 0.6593 0.1569
Ga3 0.1337 0.0708 0.6589
Ga4 0.5846 0.3407 0.6569
Zn1 0.4289 0.1723 0.3158
Zn2 0.9199 0.4661 0.4077
Zn3 0.0801 0.5339 0.9077
Zn4 0.5711 0.8277 0.8158
H1 0.1241 0.0875 0.9112
H2 0.2646 0.7613 0.5786
H3 0.7664 0.7799 0.3494
H4 0.6934 0.9449 0.3732
H5 0.1508 0.6140 0.6096
H6 0.8492 0.3860 0.1096
H7 0.8530 0.9657 0.6890
H8 0.8003 0.3512 0.9561
H9 0.7354 0.2387 0.0786
H10 0.8759 0.9125 0.4112
H11 0.3066 0.0551 0.8732
H12 0.6640 0.4082 0.0618
H13 0.2336 0.2201 0.8494
H14 0.1470 0.0343 0.1890
H15 0.3360 0.5918 0.5618
H16 0.1997 0.6488 0.4561
O1 0.0681 0.6009 0.3283
O2 0.4919 0.9742 0.9382
O3 0.5598 0.4145 0.8229
O4 0.5992 0.9370 0.6537
O5 0.4334 0.6653 0.8152
O6 0.4402 0.5855 0.3229
O7 0.2763 0.4425 0.8631
O8 0.7237 0.5575 0.3631
O9 0.4008 0.0630 0.1537
O10 0.9541 0.9464 0.7290
O11 0.5081 0.0258 0.4382
O12 0.5218 0.4736 0.5303
O13 0.0717 0.7416 0.8567
O14 0.2159 0.7232 0.1463
O15 0.0474 0.0395 0.4781
O16 0.7810 0.7740 0.8601
O17 0.5666 0.3347 0.3152
O18 0.0503 0.4989 0.0974
O19 0.5435 0.8177 0.1406
O20 0.0721 0.2640 0.6456
O21 0.6905 0.0437 0.1138
O22 0.7841 0.2768 0.6463
O23 0.3095 0.9563 0.6138
O24 0.9279 0.7360 0.1456
O25 0.4565 0.1823 0.6406
O26 0.9283 0.2584 0.3567
O27 0.0459 0.0536 0.2290
O28 0.2190 0.2260 0.3601
O29 0.9319 0.3991 0.8283
O30 0.9526 0.9605 0.9781
O31 0.4782 0.5264 0.0303
O32 0.9497 0.5011 0.5974
P1 0.0630 0.1555 0.3687
P2 0.4727 0.0246 0.5853
P3 0.9347 0.3628 0.6812
P4 0.4330 0.5159 0.8804
P5 0.5273 0.9754 0.0853
P6 0.9370 0.8445 0.8687
P7 0.5670 0.4841 0.3804
P8 0.0653 0.6372 0.1812
N1 0.7613 0.3449 0.0526
N2 0.7909 0.8895 0.3444
N3 0.2091 0.1105 0.8444
N4 0.2387 0.6551 0.5526

=====

Below is an optimized crystal structure of GaPHPtN, with properties calculated at the GGA-PBE level.

Output
The value obtained for the uncorrected energy is -5.450 eV per atom. As for the density of states at the Fermi level: 0.30 states/eV per atom. Its volume is 75.3 Å³/f.u.

a b c (Å): 3.4055 3.4051 7.7441
angles (deg): 77.12 77.58 60.04
Fractional positions:
P1 0.1022 0.0596 0.7022
N1 0.8906 0.8624 0.3128
H1 0.9339 0.9106 0.1739
Ga1 0.2023 0.1716 0.3819
Pt1 0.3903 0.3425 0.8467

=====

Below is an optimized crystal structure of GaPHPtN, with properties calculated at the GGA-PBE level.

Output
The value obtained for the uncorrected energy is -5.373 eV per atom. As for the density of states at the Fermi level: 0.19 states/eV per atom. Its volume is 67.2 Å³/f.u.

a b c (Å): 4.1428 4.1796 4.3884
angles (deg): 81.41 65.05 77.87
Fractional positions:
P1 0.4967 0.5845 0.2090
Ga1 0.4678 0.0283 0.7783
N1 0.2400 0.8500 0.5375
Pt1 0.9705 0.2825 0.3269
H1 0.0608 0.7183 0.7307

=====

Below is an optimized crystal structure of GaPHPtN, with properties calculated at the GGA-PBE level.

Output
The value obtained for the uncorrected energy is -5.350 eV per atom. Its volume is 66.7 Å³/f.u.

a b c (Å): 3.3825 3.0809 6.5294
angles (deg): 90.00 101.55 90.00
Fractional positions:
Ga1 0.4391 0.0000 0.6502
Pt1 0.6340 0.5000 0.9752
N1 0.8735 0.0000 0.4852
H1 0.2864 0.0000 0.2375
P1 0.8689 0.0000 0.2343

=====

Below is an optimized crystal structure of GaPHPtN, with properties calculated at the GGA-PBE level.

Output
The value obtained for the uncorrected energy is -5.240 eV per atom. Its volume is 79.2 Å³/f.u.

a b c (Å): 3.2127 3.2127 8.8566
angles (deg): 90.00 90.00 120.00
Fractional positions:
P1 0.3333 0.6667 0.7492
H1 0.6667 0.3333 0.0119
Pt1 0.0000 0.0000 0.9080
N1 0.0000 0.0000 0.3715
Ga1 0.3333 0.6667 0.3770

=====

Below is an optimized crystal structure of GaPHPtN, with properties calculated at the GGA-PBE level.

Output
The value obtained for the uncorrected energy is -5.321 eV per atom. As for the density of states at the Fermi level: 0.30 states/eV per atom. Its volume is 66.9 Å³/f.u.

a b c (Å): 3.4806 3.2424 5.9491
angles (deg): 90.00 94.91 90.00
Fractional positions:
Pt1 0.1905 0.0000 0.7543
P1 0.1667 0.5000 0.4717
H1 0.7005 0.0000 0.6920
N1 0.7955 0.5000 0.2826
Ga1 0.7292 0.0000 0.0831

=====

Below is an optimized crystal structure of GaPHPtN, with properties calculated at the GGA-PBE level.

Output
The value obtained for the uncorrected energy is -5.397 eV per atom. As for the density of states at the Fermi level: 0.18 states/eV per atom. Its volume is 69.6 Å³/f.u.

a b c (Å): 3.2178 3.8238 6.4960
angles (deg): 104.76 90.34 114.76
Fractional positions:
P1 0.1395 0.2202 0.2836
N1 0.2228 0.3824 0.5503
Pt1 0.7812 0.5089 0.1096
Ga1 0.7621 0.4568 0.7199
H1 0.5581 0.0772 0.9190

=====

Below is an optimized crystal structure of GaPHPtN, with properties calculated at the GGA-PBE level.

Output
The value obtained for the uncorrected energy is -5.411 eV per atom. As for the density of states at the Fermi level: 0.24 states/eV per atom. Its volume is 65.6 Å³/f.u.

a b c (Å): 3.1202 4.7237 4.9981
angles (deg): 82.48 71.42 70.02
Fractional positions:
Pt1 0.2011 0.2718 0.8145
N1 0.6690 0.7575 0.3807
Ga1 0.5347 0.1676 0.2637
P1 0.5378 0.6805 0.7203
H1 0.8217 0.5862 0.2384

=====

Which of these has the lowest uncorrected energy? ZnGaP2H4NO8

=====

What is the formula in the sixth record? GaPHPtN

=====

What did the second record say?
Below is an optimized crystal structure of GaPHPtN, with properties calculated at the GGA-PBE level.

Output
The value obtained for the uncorrected energy is -5.450 eV per atom. As for the density of states at the Fermi level: 0.30 states/eV per atom. Its volume is 75.3 Å³/f.u.

a b c (Å): 3.4055 3.4051 7.7441
angles (deg): 77.12 77.58 60.04
Fractional positions:
P1 0.1022 0.0596 0.7022
N1 0.8906 0.8624 0.3128
H1 0.9339 0.9106 0.1739
Ga1 0.2023 0.1716 0.3819
Pt1 0.3903 0.3425 0.8467